No. 1
DFT (GGA-PBE) results for an optimized crystal structure of PrSmGaPb.

Cell lengths 7.657, 7.657, 7.657 Å; angles 90.00, 90.00, 90.00 degrees
Space group F-43m (No. 216)
Unique sites:
Pr (0.000, 0.000, 0.000)
Sm (0.000, 0.000, 0.500)
Ga (0.250, 0.250, 0.750)
Pb (0.250, 0.250, 0.250)

density = 8408 kg/m³
calculated total energy = -4.522 eV/atom

No. 2
DFT (GGA-PBE) results for an optimized crystal structure of Ca3MnBe.

Cell lengths 5.267, 5.267, 5.267 Å; angles 90.00, 90.00, 90.00 degrees
Space group Pm-3m (No. 221)
Unique sites:
Ca (0.000, 0.000, 0.500)
Mn (0.000, 0.000, 0.000)
Be (0.500, 0.500, 0.500)

density = 2094 kg/m³
calculated total energy = -2.759 eV/atom

No. 3
DFT (GGA-PBE) results for an optimized crystal structure of Tb3Nb5N12.

Cell lengths 12.996, 12.996, 12.996 Å; angles 90.00, 90.00, 90.00 degrees
Space group Ia-3d (No. 230)
Unique sites:
Tb (0.000, 0.250, 0.125)
Nb (0.000, 0.000, 0.000)
Nb (0.000, 0.250, 0.375)
N (0.029, 0.056, 0.650)

density = 6714 kg/m³
raw formation energy = -0.9173 eV/atom

No. 4
DFT (GGA-PBE) results for an optimized crystal structure of PmZn2.

Cell lengths 3.328, 3.328, 11.360 Å; angles 90.00, 90.00, 90.00 degrees
Space group I4/mmm (No. 139)
Unique sites:
Pm (0.000, 0.000, 0.000)
Zn (0.000, 0.000, 0.311)

density = 7279 kg/m³
calculated total energy = -2.617 eV/atom

No. 5
DFT (GGA-PBE) results for an optimized crystal structure of Ce2Er2S7.

Cell lengths 3.957, 13.856, 8.583 Å; angles 90.00, 90.00, 90.00 degrees
Space group Imm2 (No. 44)
Unique sites:
Ce (0.000, 0.240, 0.000)
Er (0.000, 0.000, 0.752)
Er (0.000, 0.500, 0.793)
S (0.000, 0.000, 0.074)
S (0.000, 0.110, 0.476)
S (0.000, 0.315, 0.696)
S (0.000, 0.363, 0.303)

density = 5922 kg/m³
raw formation energy = -1.8745 eV/atom

No. 6
DFT (GGA-PBE) results for an optimized crystal structure of Ce6Hg5Ir.

Cell lengths 16.535, 7.697, 5.249 Å; angles 90.00, 108.34, 90.00 degrees
Space group C2/m (No. 12)
Unique sites:
Ce (0.000, 0.214, 0.000)
Ce (0.149, 0.225, 0.650)
Hg (0.000, 0.500, 0.500)
Hg (0.166, 0.500, 0.167)
Hg (0.195, 0.000, 0.195)
Ir (0.000, 0.000, 0.500)

density = 10663 kg/m³
calculated total energy = -4.213 eV/atom

No. 7
DFT (GGA-PBE) results for an optimized crystal structure of Sm3DySc2S6.

Cell lengths 6.686, 11.621, 6.803 Å; angles 90.00, 109.22, 90.00 degrees
Space group C2/m (No. 12)
Unique sites:
Sm (0.000, 0.000, 0.000)
Sm (0.000, 0.337, 0.000)
Dy (0.000, 0.500, 0.500)
Sc (0.000, 0.166, 0.500)
S (0.233, 0.000, 0.727)
S (0.248, 0.329, 0.731)

density = 5961 kg/m³
raw formation energy = -1.9540 eV/atom

No. 8
DFT (GGA-PBE) results for an optimized crystal structure of Na14Au2Se9.

Cell lengths 8.3404, 8.3404, 11.4886 Å; angles 90.00, 90.00, 120.00 degrees
Space group P-3 (No. 147)
Unique sites:
Na (0.0000, 0.0000, 0.2473)
Na (0.0123, 0.6670, 0.4087)
Na (0.0488, 0.3745, 0.0979)
Au (0.3333, 0.6667, 0.7529)
Se (0.0000, 0.0000, 0.5000)
Se (0.0472, 0.3497, 0.8402)
Se (0.3333, 0.6667, 0.5207)

density = 3422 kg/m³
raw formation energy = -0.8395 eV/atom

No. 9
DFT (GGA-PBE) results for an optimized crystal structure of MgCdP2.

Cell lengths 6.282, 6.282, 10.095 Å; angles 90.00, 90.00, 90.00 degrees
Space group I-42d (No. 122)
Unique sites:
Mg (0.000, 0.000, 0.000)
Cd (0.000, 0.000, 0.500)
P (0.250, 0.250, 0.125)

density = 3312 kg/m³
calculated total energy = -3.167 eV/atom

No. 10
DFT (GGA-PBE) results for an optimized crystal structure of BP3Ru.

Cell lengths 4.558, 4.558, 4.558 Å; angles 90.00, 90.00, 90.00 degrees
Space group Pm-3m (No. 221)
Unique sites:
B (0.000, 0.000, 0.000)
P (0.000, 0.500, 0.500)
Ru (0.500, 0.500, 0.500)

density = 3592 kg/m³
calculated total energy = -4.994 eV/atom

No. 11
DFT (GGA-PBE) results for an optimized crystal structure of LaRe2Pt.

Cell lengths 2.973, 4.474, 5.919 Å; angles 90.00, 100.66, 90.00 degrees
Space group Pm (No. 6)
Unique sites:
La (0.000, 0.000, 0.000)
Re (0.245, 0.500, 0.620)
Re (0.590, 0.000, 0.525)
Pt (0.577, 0.500, 0.227)

density = 15157 kg/m³
calculated total energy = -8.828 eV/atom

No. 12
DFT (GGA-PBE) results for an optimized crystal structure of Pm6P5F.

Cell lengths 7.081, 12.242, 7.073 Å; angles 90.00, 109.58, 90.00 degrees
Space group C2/m (No. 12)
Unique sites:
Pm (0.244, 0.000, 0.256)
Pm (0.246, 0.170, 0.748)
P (0.000, 0.000, 0.500)
P (0.000, 0.167, 0.000)
P (0.000, 0.333, 0.500)
F (0.000, 0.500, 0.000)

density = 6002 kg/m³
raw formation energy = -1.7558 eV/atom

What is the density in the fifth record? 5922 kg/m³